# Pa2RuO (PBE, optimized geometry)
data_Pa2RuO
_cell_length_a 3.066
_cell_length_b 3.066
_cell_length_c 7.203
_cell_angle_alpha 90.00
_cell_angle_beta 90.00
_cell_angle_gamma 90.00
_space_group_name_H-M_alt 'P 4/m m m'
_space_group_IT_number 123
_space_group_name_Hall '-P 4 2'
loop_
_atom_site_label
_atom_site_type_symbol
_atom_site_fract_x
_atom_site_fract_y
_atom_site_fract_z
Pa1 Pa 0.000 0.000 0.226
Ru1 Ru 0.500 0.500 0.500
O1 O 0.500 0.500 0.000
# total magnetic moment	0.0	μB per cell
# uncorrected energy	-37.56	eV for the cell shown
# theoretical density	14.203	g/cm3

***

# Cr2ReHRh (PBE, optimized geometry)
data_Cr2ReHRh
_cell_length_a 3.774
_cell_length_b 3.774
_cell_length_c 3.790
_cell_angle_alpha 90.00
_cell_angle_beta 90.00
_cell_angle_gamma 90.00
_space_group_name_H-M_alt 'P 4/m m m'
_space_group_IT_number 123
_space_group_name_Hall '-P 4 2'
loop_
_atom_site_label
_atom_site_type_symbol
_atom_site_fract_x
_atom_site_fract_y
_atom_site_fract_z
Cr1 Cr 0.000 0.500 0.000
Re1 Re 0.000 0.000 0.500
H1 H 0.000 0.000 0.000
Rh1 Rh 0.500 0.500 0.500
# total magnetic moment	0.0	μB per cell
# uncorrected energy	-42.07	eV for the cell shown
# theoretical density	12.124	g/cm3